1.
# RbNdSeS (PBE, relaxed)
# Formation energy from raw total energies, eV per atom: -1.748
# Crystal system: trigonal
# Volume, Å³/atom: 31.82
# Magnetization, μB per formula unit: 0.0
data_RbNdSeS
_chemical_formula_sum 'Rb3 Nd3 Se3 S3'
_symmetry_space_group_name_H-M 'R 3 m'
_symmetry_Int_Tables_number 160
_symmetry_space_group_name_Hall 'R 3 -2"'
_cell_length_a 4.2772
_cell_length_b 4.2772
_cell_length_c 24.1011
_cell_angle_alpha 90.00
_cell_angle_beta 90.00
_cell_angle_gamma 120.00
loop_
_atom_site_label
_atom_site_type_symbol
_atom_site_fract_x
_atom_site_fract_y
_atom_site_fract_z
Rb1 Rb 0.0000 0.0000 0.0000
Nd1 Nd 0.0000 0.0000 0.1648
Se1 Se 0.0000 0.0000 0.5681
S1 S 0.0000 0.0000 0.7698


2.
# Rb3NdSm2S6 (PBE, relaxed)
# Formation energy from raw total energies, eV per atom: -1.833
# Crystal system: monoclinic
# Volume, Å³/atom: 29.32
# Magnetization, μB per formula unit: 0.0
data_Rb3NdSm2S6
_chemical_formula_sum 'Rb6 Nd2 Sm4 S12'
_symmetry_space_group_name_H-M 'C 1 2/m 1'
_symmetry_Int_Tables_number 12
_cell_length_a 7.256
_cell_length_b 12.568
_cell_length_c 8.086
_cell_angle_alpha 90.00
_cell_angle_beta 107.40
_cell_angle_gamma 90.00
loop_
_symmetry_equiv_pos_as_xyz
'x,y,z'
'-x,-y,-z'
'-x,y,-z'
'x,-y,z'
'x+1/2,y+1/2,z'
'-x+1/2,-y+1/2,-z'
'-x+1/2,y+1/2,-z'
'x+1/2,-y+1/2,z'
loop_
_atom_site_label
_atom_site_type_symbol
_atom_site_fract_x
_atom_site_fract_y
_atom_site_fract_z
Rb1 Rb 0.000 0.000 0.000
Rb2 Rb 0.000 0.334 0.000
Nd1 Nd 0.000 0.500 0.500
Sm1 Sm 0.000 0.167 0.500
S1 S 0.229 0.000 0.696
S2 S 0.233 0.332 0.696


3.
# Rb2NdSmS4 (PBE, relaxed)
# Formation energy from raw total energies, eV per atom: -1.830
# Crystal system: monoclinic
# Volume, Å³/atom: 29.45
# Magnetization, μB per formula unit: 0.0
data_Rb2NdSmS4
_chemical_formula_sum 'Rb2 Nd1 Sm1 S4'
_symmetry_space_group_name_H-M 'P 1 2/m 1'
_symmetry_Int_Tables_number 10
_cell_length_a 7.272
_cell_length_b 4.198
_cell_length_c 8.088
_cell_angle_alpha 90.00
_cell_angle_beta 107.43
_cell_angle_gamma 90.00
loop_
_symmetry_equiv_pos_as_xyz
'x,y,z'
'-x,-y,-z'
'-x,y,-z'
'x,-y,z'
loop_
_atom_site_label
_atom_site_type_symbol
_atom_site_fract_x
_atom_site_fract_y
_atom_site_fract_z
Rb1 Rb 0.000 0.000 0.000
Rb2 Rb 0.500 0.500 0.000
Nd1 Nd 0.000 0.500 0.500
Sm1 Sm 0.500 0.000 0.500
S1 S 0.235 0.000 0.697
S2 S 0.271 0.500 0.304


4.
# Rb3Nd2SmS6 (PBE, relaxed)
# Formation energy from raw total energies, eV per atom: -1.828
# Crystal system: monoclinic
# Volume, Å³/atom: 29.58
# Magnetization, μB per formula unit: 0.0
data_Rb3Nd2SmS6
_chemical_formula_sum 'Rb6 Nd4 Sm2 S12'
_symmetry_space_group_name_H-M 'C 1 2/m 1'
_symmetry_Int_Tables_number 12
_cell_length_a 7.288
_cell_length_b 12.622
_cell_length_c 8.091
_cell_angle_alpha 90.00
_cell_angle_beta 107.47
_cell_angle_gamma 90.00
loop_
_symmetry_equiv_pos_as_xyz
'x,y,z'
'-x,-y,-z'
'-x,y,-z'
'x,-y,z'
'x+1/2,y+1/2,z'
'-x+1/2,-y+1/2,-z'
'-x+1/2,y+1/2,-z'
'x+1/2,-y+1/2,z'
loop_
_atom_site_label
_atom_site_type_symbol
_atom_site_fract_x
_atom_site_fract_y
_atom_site_fract_z
Rb1 Rb 0.000 0.000 0.000
Rb2 Rb 0.000 0.333 0.000
Nd1 Nd 0.000 0.167 0.500
Sm1 Sm 0.000 0.500 0.500
S1 S 0.231 0.335 0.697
S2 S 0.235 0.000 0.697


5.
# RbNd4SmS8 (PBE, relaxed)
# Formation energy from raw total energies, eV per atom: -1.886
# Crystal system: trigonal
# Volume, Å³/atom: 31.23
# Magnetization, μB per formula unit: 0.0
data_RbNd4SmS8
_chemical_formula_sum 'Rb3 Nd12 Sm3 S24'
_symmetry_space_group_name_H-M 'R 3 m'
_symmetry_Int_Tables_number 160
_symmetry_space_group_name_Hall 'R 3 -2"'
_cell_length_a 8.5409
_cell_length_b 8.5409
_cell_length_c 20.7650
_cell_angle_alpha 90.00
_cell_angle_beta 90.00
_cell_angle_gamma 120.00
loop_
_atom_site_label
_atom_site_type_symbol
_atom_site_fract_x
_atom_site_fract_y
_atom_site_fract_z
Rb1 Rb 0.0000 0.0000 0.0000
Nd1 Nd 0.0000 0.0000 0.2484
Nd2 Nd 0.1722 0.3443 0.4556
Sm1 Sm 0.0000 0.0000 0.6278
S1 S 0.0000 0.0000 0.3810
S2 S 0.0000 0.0000 0.8559
S3 S 0.0504 0.5252 0.3785
S4 S 0.1771 0.3541 0.2051


6.
# Rb2Nd2SnS6 (PBE, relaxed)
# Formation energy from raw total energies, eV per atom: -1.397
# Crystal system: monoclinic
# Volume, Å³/atom: 30.99
# Magnetization, μB per formula unit: 0.0
data_Rb2Nd2SnS6
_chemical_formula_sum 'Rb4 Nd4 Sn2 S12'
_symmetry_space_group_name_H-M 'C 1 2/m 1'
_symmetry_Int_Tables_number 12
_cell_length_a 7.092
_cell_length_b 12.149
_cell_length_c 8.268
_cell_angle_alpha 90.00
_cell_angle_beta 106.83
_cell_angle_gamma 90.00
loop_
_symmetry_equiv_pos_as_xyz
'x,y,z'
'-x,-y,-z'
'-x,y,-z'
'x,-y,z'
'x+1/2,y+1/2,z'
'-x+1/2,-y+1/2,-z'
'-x+1/2,y+1/2,-z'
'x+1/2,-y+1/2,z'
loop_
_atom_site_label
_atom_site_type_symbol
_atom_site_fract_x
_atom_site_fract_y
_atom_site_fract_z
Rb1 Rb 0.000 0.170 0.000
Nd1 Nd 0.000 0.333 0.500
Sn1 Sn 0.000 0.000 0.500
S1 S 0.220 0.156 0.689
S2 S 0.239 0.000 0.314


7.
# RbNdSnS4 (PBE, relaxed)
# Formation energy from raw total energies, eV per atom: -1.211
# Crystal system: monoclinic
# Volume, Å³/atom: 30.48
# Magnetization, μB per formula unit: 0.0
data_RbNdSnS4
_chemical_formula_sum 'Rb2 Nd2 Sn2 S8'
_symmetry_space_group_name_H-M 'P 1 21/m 1'
_symmetry_Int_Tables_number 11
_cell_length_a 6.909
_cell_length_b 6.990
_cell_length_c 9.266
_cell_angle_alpha 90.00
_cell_angle_beta 107.52
_cell_angle_gamma 90.00
loop_
_symmetry_equiv_pos_as_xyz
'x,y,z'
'-x,-y,-z'
'-x,y+1/2,-z'
'x,-y+1/2,z'
loop_
_atom_site_label
_atom_site_type_symbol
_atom_site_fract_x
_atom_site_fract_y
_atom_site_fract_z
Rb1 Rb 0.235 0.250 0.439
Nd1 Nd 0.282 0.250 0.949
Sn1 Sn 0.262 0.750 0.168
S1 S 0.040 0.750 0.914
S2 S 0.054 0.750 0.330
S3 S 0.494 0.509 0.798


8.
# Rb3Nd2SnS6 (PBE, relaxed)
# Formation energy from raw total energies, eV per atom: -1.430
# Crystal system: monoclinic
# Volume, Å³/atom: 29.22
# Magnetization, μB per formula unit: 0.0
data_Rb3Nd2SnS6
_chemical_formula_sum 'Rb6 Nd4 Sn2 S12'
_symmetry_space_group_name_H-M 'C 1 2/m 1'
_symmetry_Int_Tables_number 12
_cell_length_a 7.256
_cell_length_b 12.567
_cell_length_c 8.062
_cell_angle_alpha 90.00
_cell_angle_beta 107.46
_cell_angle_gamma 90.00
loop_
_symmetry_equiv_pos_as_xyz
'x,y,z'
'-x,-y,-z'
'-x,y,-z'
'x,-y,z'
'x+1/2,y+1/2,z'
'-x+1/2,-y+1/2,-z'
'-x+1/2,y+1/2,-z'
'x+1/2,-y+1/2,z'
loop_
_atom_site_label
_atom_site_type_symbol
_atom_site_fract_x
_atom_site_fract_y
_atom_site_fract_z
Rb1 Rb 0.000 0.000 0.000
Rb2 Rb 0.000 0.334 0.000
Nd1 Nd 0.000 0.167 0.500
Sn1 Sn 0.000 0.500 0.500
S1 S 0.228 0.337 0.695
S2 S 0.239 0.000 0.695


Question: Look up the volume of the eighth one.
Answer: 29.22 Å³/atom